Density functional theory data (PBE with a Hubbard U) for a relaxed structure of NiMoI2O.

Unit cell a=5.888 b=5.888 c=3.891 alpha=90.00 beta=90.00 gamma=90.00
Each line ends with the local moment (μB).
Fractional coordinates of all 5 atoms:
O 0.000 0.000 0.500  -0.21
Ni 0.500 0.500 0.500  -0.98
I 0.500 0.000 0.000  -0.01
I 0.000 0.500 0.000  -0.01
Mo 0.000 0.000 0.000  2.81

Its space-group type is P4/mmm. The calculation puts the total energy at -17.84 eV per cell. The calculation puts the spin magnetization at 1.8 μB/f.u.